[1]
This record from Alexandria via LeMat-Bulk describes a relaxed Cs2KGeI5 crystal. The functional is GGA-PBE. Values from VASP.

M_tot, μB/f.u.: 0.0
Formation energy from raw total energies, eV per formula unit: -9.7
D(E_F), states/eV per cell: 0.00
Uncorrected energy, eV/cell: -49.7

Quantum ESPRESSO input file:
```
&SYSTEM
  ibrav = 0, nat = 18, ntyp = 4
/
ATOMIC_SPECIES
Cs 132.91 Cs.upf
K 39.10 K.upf
Ge 72.64 Ge.upf
I 126.90 I.upf
CELL_PARAMETERS angstrom
2.389 -10.686 0.000
2.389 10.686 0.000
0.000 0.000 17.859
ATOMIC_POSITIONS angstrom
Cs 2.389 8.928 8.929
Cs 2.389 7.605 2.662
Cs 2.389 -7.605 11.592
Cs 2.389 -8.928 0.000
K 2.389 0.862 5.400
K 2.389 -0.862 14.329
Ge 2.389 5.866 15.797
Ge 2.389 -5.866 6.868
I 2.389 8.716 16.514
I 2.389 5.172 8.922
I 2.389 4.383 4.938
I 2.389 2.786 14.971
I 2.389 0.117 11.142
I 2.389 -0.117 2.213
I 2.389 -2.786 6.041
I 2.389 -4.383 13.867
I 2.389 -5.172 17.852
I 2.389 -8.716 7.585
```

[2]
This record from Alexandria via LeMat-Bulk describes a relaxed Cs2KGe2I7 crystal. The functional is GGA-PBE. Values from VASP.

M_tot, μB/f.u.: 0.0
Formation energy from raw total energies, eV per formula unit: -10.9
Uncorrected energy, eV/cell: -33.8

Quantum ESPRESSO input file:
```
&SYSTEM
  ibrav = 0, nat = 12, ntyp = 4
/
ATOMIC_SPECIES
Cs 132.91 Cs.upf
K 39.10 K.upf
Ge 72.64 Ge.upf
I 126.90 I.upf
CELL_PARAMETERS angstrom
4.290 -4.214 0.000
4.290 4.214 0.000
-4.101 0.000 15.516
ATOMIC_POSITIONS angstrom
Cs 0.035 0.000 5.565
Cs 4.444 0.000 9.951
K 0.000 0.000 0.000
Ge -0.041 0.000 12.472
Ge 4.519 0.000 3.044
I 2.116 2.121 2.875
I 0.067 0.000 9.484
I 2.362 2.121 12.641
I 4.290 0.000 0.000
I 2.116 -2.121 2.875
I 4.412 0.000 6.032
I 2.362 -2.121 12.641
```

[3]
This record from Alexandria via LeMat-Bulk describes a relaxed Cs3K3GeI8 crystal. The functional is GGA-PBE. Values from VASP.

M_tot, μB/f.u.: 0.0
Formation energy from raw total energies, eV per formula unit: -19.0
D(E_F), states/eV per cell: 0.00
Uncorrected energy, eV/cell: -41.9

Quantum ESPRESSO input file:
```
&SYSTEM
  ibrav = 0, nat = 15, ntyp = 4
/
ATOMIC_SPECIES
Cs 132.91 Cs.upf
K 39.10 K.upf
Ge 72.64 Ge.upf
I 126.90 I.upf
CELL_PARAMETERS angstrom
5.135 2.965 8.865
-5.135 2.965 8.865
0.000 -5.930 8.865
ATOMIC_POSITIONS angstrom
Cs -2.568 -1.482 8.865
Cs -2.568 1.482 17.730
Cs 0.000 2.965 8.865
K -5.135 0.000 13.298
K -2.568 1.482 4.433
K 2.568 1.482 4.433
Ge 0.000 0.000 13.298
I 0.000 0.000 6.419
I -2.216 -1.279 15.039
I 0.000 -2.559 11.556
I -2.216 1.279 11.556
I 2.216 -1.279 15.039
I 0.000 2.559 15.039
I 2.216 1.279 11.556
I 0.000 0.000 20.177
```

[4]
This record from Alexandria via LeMat-Bulk describes a relaxed CsKGeI4 crystal. The functional is GGA-PBE. Values from VASP.

M_tot, μB/f.u.: 0.0
Formation energy from raw total energies, eV per formula unit: -6.8
D(E_F), states/eV per cell: 0.00
Uncorrected energy, eV/cell: -39.2

Quantum ESPRESSO input file:
```
&SYSTEM
  ibrav = 0, nat = 14, ntyp = 4
/
ATOMIC_SPECIES
Cs 132.91 Cs.upf
K 39.10 K.upf
Ge 72.64 Ge.upf
I 126.90 I.upf
CELL_PARAMETERS angstrom
7.093 0.000 0.000
0.000 8.236 0.000
-3.258 0.000 11.555
ATOMIC_POSITIONS angstrom
Cs 0.027 2.059 4.878
Cs 3.808 6.177 6.677
K 2.348 6.177 0.207
K 1.487 2.059 11.348
Ge -2.367 2.059 9.305
Ge 6.202 6.177 2.250
I 1.144 2.059 0.845
I 0.274 6.177 4.990
I -0.547 0.067 8.858
I -0.547 4.052 8.858
I 4.382 4.185 2.697
I 4.382 8.170 2.697
I 3.561 2.059 6.565
I 2.691 6.177 10.710
```

- Which value of formation energy from raw total energies does entry 1 give?
  -9.7 eV per formula unit

- Which formula does entry 1 have?
  Cs2KGeI5

- Which formula does entry 4 have?
  CsKGeI4